A relaxed MgScFeO4 crystal. Source: Alexandria via LeMat-Bulk, functional GGA+U.

a b c (Å): 6.0551 6.1013 6.1013
angles (deg): 60.77 60.25 60.25
With the nearest neighbours (Å) after each atom.
Positions (direct):
1 O 0.2440 0.2458 0.7458  1 Fe 1.95, 1 Mg 2.12, 2 Sc 2.12
2 O 0.2450 0.2457 0.2644  1 Fe 1.93, 1 Sc 2.11, 2 Mg 2.12
3 O 0.7560 0.7542 0.2542  1 Fe 1.95, 1 Mg 2.12, 2 Sc 2.12
4 O 0.2356 0.7542 0.2542  1 Fe 1.95, 1 Mg 2.12, 2 Sc 2.12
5 O 0.7550 0.7543 0.7356  1 Fe 1.93, 1 Sc 2.11, 2 Mg 2.12
6 O 0.7644 0.2458 0.7458  1 Fe 1.95, 1 Mg 2.12, 2 Sc 2.12
7 O 0.2450 0.7644 0.7457  1 Fe 1.93, 1 Sc 2.11, 2 Mg 2.12
8 O 0.7550 0.2356 0.2543  1 Fe 1.93, 1 Sc 2.11, 2 Mg 2.12
9 Sc 0.0000 0.5000 0.5000  6 O 2.11-2.12
10 Sc 0.0000 0.0000 0.0000  6 O 2.11-2.12
11 Mg 0.0000 0.0000 0.5000  6 O 2.12
12 Mg 0.5000 0.0000 0.5000  6 O 2.12
13 Fe 0.6295 0.6205 0.1205  4 O 1.93-1.95
14 Fe 0.3705 0.3795 0.8795  4 O 1.93-1.95

Results
* VASP energy: -7.32 eV/atom